Below is an optimized crystal structure of In2SbMoO8, with properties calculated at the PBE+U level.

Raw total energy   -75.1 eV per cell
Theoretical density   6.26 Mg/m³
N(E_F)   0.00 states/eV/f.u.
Symmetry   Cmmm (65)

```
In2SbMoO8
1.0
3.373 -3.489 0.000
3.373 3.489 0.000
0.000 0.000 6.480
In Sb Mo O
2 1 1 8
Direct
0.000 0.000 0.249
0.000 0.000 0.751
0.500 0.500 0.000
0.500 0.500 0.500
0.207 0.207 0.000
0.213 0.213 0.500
0.318 0.682 0.250
0.318 0.682 0.750
0.682 0.318 0.250
0.682 0.318 0.750
0.787 0.787 0.500
0.793 0.793 0.000
```